# 1
Material: PrYCuPd
Method: DFT, PBE
State: optimized geometry

As for the mass density: 7.0 g cm⁻³. The uncorrected energy comes out at -5.655 eV per atom. The density of states at the Fermi level is 3.1 states/eV/f.u. The energy relative to the elements comes out at -521 meV/atom. The energy relative to the lowest polymorph listed for this composition comes out at 0 meV per atom. The total magnetization comes out at 0.00 Bohr magnetons per cell.

Structure (POSCAR):
```
PrYCuPd
1.0
3.834 0.000 0.000
0.000 4.571 0.000
-1.917 0.000 5.402
Pd Y Cu Pr
1 1 1 1
Cartesian
1.917 2.285 0.846 Pd
0.000 0.000 1.477 Y
0.000 0.000 4.595 Cu
1.917 2.285 3.887 Pr
```

# 2
Material: Li2TaOs
Method: DFT, PBE
State: optimized geometry

As for the mass density: 9.7 g cm⁻³. The uncorrected energy comes out at -6.563 eV per atom. The density of states at the Fermi level is 3.9 states/eV/f.u. The energy relative to the elements comes out at 165 meV/atom. The energy relative to the lowest polymorph listed for this composition comes out at 35 meV per atom. The total magnetization comes out at 0.00 Bohr magnetons per cell.

Structure (POSCAR):
```
Li2TaOs
1.0
3.098 0.000 0.000
0.000 3.382 0.000
0.000 0.000 6.295
Li Os Ta
2 1 1
Cartesian
0.000 0.000 0.167 Li
1.549 1.691 1.572 Li
0.000 0.000 3.247 Os
1.549 1.691 4.456 Ta
```